VASP calculation (PBE) on crystalline GeP2OsO at its relaxed geometry.

```
data_GeP2OsO
_chemical_formula_sum 'Ge1 P2 Os1 O1'
_cell_length_a 4.822
_cell_length_b 4.822
_cell_length_c 3.668
_cell_angle_alpha 90.00
_cell_angle_beta 90.00
_cell_angle_gamma 90.00
_symmetry_space_group_name_H-M 'P 4/m m m'
_symmetry_Int_Tables_number 123
_symmetry_space_group_name_Hall '-P 4 2'
loop_
_atom_site_label
_atom_site_fract_x
_atom_site_fract_y
_atom_site_fract_z
Ge1 0.000 0.000 0.000
P1 0.000 0.500 0.500
Os1 0.500 0.500 0.500
O1 0.500 0.500 0.000
```

VASP calculation (PBE) on crystalline PaGeOsO at its relaxed geometry.

```
data_PaGeOsO
_chemical_formula_sum 'Pa2 Ge2 Os2 O2'
_cell_length_a 4.119
_cell_length_b 4.119
_cell_length_c 7.554
_cell_angle_alpha 90.00
_cell_angle_beta 90.00
_cell_angle_gamma 90.00
_symmetry_space_group_name_H-M 'P 4/n m m'
_symmetry_Int_Tables_number 129
loop_
_symmetry_equiv_pos_as_xyz
'x,y,z'
'-x,-y,-z'
'-y+1/2,x,z'
'y+1/2,-x,-z'
'-x+1/2,-y+1/2,z'
'x+1/2,y+1/2,-z'
'y,-x+1/2,z'
'-y,x+1/2,-z'
'x+1/2,-y,-z'
'-x+1/2,y,z'
'-y,-x,-z'
'y,x,z'
'-x,y+1/2,-z'
'x,-y+1/2,z'
'y+1/2,x+1/2,-z'
'-y+1/2,-x+1/2,z'
loop_
_atom_site_label
_atom_site_fract_x
_atom_site_fract_y
_atom_site_fract_z
Pa1 0.250 0.250 0.163
Ge1 0.250 0.250 0.681
Os1 0.250 0.750 0.500
O1 0.250 0.750 0.000
```

VASP calculation (PBE) on crystalline GeOsPbO2 at its relaxed geometry.

```
data_GeOsPbO2
_chemical_formula_sum 'Ge1 Os1 Pb1 O2'
_cell_length_a 3.723
_cell_length_b 3.723
_cell_length_c 7.939
_cell_angle_alpha 90.00
_cell_angle_beta 90.00
_cell_angle_gamma 90.00
_symmetry_space_group_name_H-M 'P 4/m m m'
_symmetry_Int_Tables_number 123
_symmetry_space_group_name_Hall '-P 4 2'
loop_
_atom_site_label
_atom_site_fract_x
_atom_site_fract_y
_atom_site_fract_z
Ge1 0.000 0.000 0.000
Os1 0.500 0.500 0.500
Pb1 0.000 0.000 0.500
O1 0.000 0.500 0.000
```

VASP calculation (PBE) on crystalline GeOsPdO2 at its relaxed geometry.

```
data_GeOsPdO2
_chemical_formula_sum 'Ge1 Os1 Pd1 O2'
_cell_length_a 3.684
_cell_length_b 3.684
_cell_length_c 5.961
_cell_angle_alpha 90.00
_cell_angle_beta 90.00
_cell_angle_gamma 90.00
_symmetry_space_group_name_H-M 'P 4/m m m'
_symmetry_Int_Tables_number 123
_symmetry_space_group_name_Hall '-P 4 2'
loop_
_atom_site_label
_atom_site_fract_x
_atom_site_fract_y
_atom_site_fract_z
Ge1 0.000 0.000 0.000
Os1 0.000 0.000 0.500
Pd1 0.500 0.500 0.000
O1 0.000 0.500 0.500
```

VASP calculation (PBE) on crystalline GeOsPt2O at its relaxed geometry.

```
data_GeOsPt2O
_chemical_formula_sum 'Ge1 Os1 Pt2 O1'
_cell_length_a 4.809
_cell_length_b 4.809
_cell_length_c 3.521
_cell_angle_alpha 90.00
_cell_angle_beta 90.00
_cell_angle_gamma 90.00
_symmetry_space_group_name_H-M 'P 4/m m m'
_symmetry_Int_Tables_number 123
_symmetry_space_group_name_Hall '-P 4 2'
loop_
_atom_site_label
_atom_site_fract_x
_atom_site_fract_y
_atom_site_fract_z
Ge1 0.000 0.000 0.000
Os1 0.500 0.500 0.500
Pt1 0.000 0.500 0.000
O1 0.000 0.000 0.500
```

VASP calculation (PBE) on crystalline GeSbOsO2 at its relaxed geometry.

```
data_GeSbOsO2
_chemical_formula_sum 'Ge1 Sb1 Os1 O2'
_cell_length_a 3.818
_cell_length_b 3.818
_cell_length_c 6.393
_cell_angle_alpha 90.00
_cell_angle_beta 90.00
_cell_angle_gamma 90.00
_symmetry_space_group_name_H-M 'P 4/m m m'
_symmetry_Int_Tables_number 123
_symmetry_space_group_name_Hall '-P 4 2'
loop_
_atom_site_label
_atom_site_fract_x
_atom_site_fract_y
_atom_site_fract_z
Ge1 0.000 0.000 0.000
Sb1 0.000 0.000 0.500
Os1 0.500 0.500 0.000
O1 0.000 0.500 0.500
```

no.,formation energy without anion corrections (eV/f.u.)
1,1.00
2,-5.93
3,2.17
4,-2.11
5,3.76
6,2.21